CdHgI2: relaxed, PBE-GGA.

The total energy comes out at -5.919 eV per cell. Its space-group type is R3m. The theoretical density is 5.7 g/cm3.

a = 10.661 Å, b = 10.661 Å, c = 10.661 Å
α = 23.27°, β = 23.27°, γ = 23.27°
Element x y z (fractional)
Cd 0.000 0.000 0.000
Hg 0.832 0.832 0.832
I 0.389 0.389 0.389
I 0.611 0.611 0.611